1.
Computed, not measured: a relaxed Er2SnPt crystal at the PBE level of DFT.

Lattice parameters (Å, degrees): 3.514 3.514 7.629 90.00 90.00 90.00
Fractional coordinates of all 4 atoms:
Er (0.000, 0.000, 0.218)
Er (0.000, 0.000, 0.782)
Sn (0.500, 0.500, 0.500)
Pt (0.500, 0.500, 0.000)

Computed properties:
Energy, eV per cell: -22.96
Calculated volume, Å³/cell: 94
Magnetization, μB per formula unit: 0.00
Energy of formation from the pure elements, eV/atom: -0.947

***

2.
Computed, not measured: a relaxed Er2SnPt crystal at the PBE level of DFT.

Lattice parameters (Å, degrees): 8.385 8.385 8.385 26.77 26.77 26.77
Fractional coordinates of all 4 atoms:
Er (0.236, 0.236, 0.236)
Er (0.764, 0.764, 0.764)
Sn (0.000, 0.000, 0.000)
Pt (0.500, 0.500, 0.500)

Computed properties:
Energy, eV per cell: -22.45
Calculated volume, Å³/cell: 105
Magnetization, μB per formula unit: 0.00
Energy of formation from the pure elements, eV/atom: -0.821

***

> Which of these has the lowest calculated volume?

number 1